Entry 1:
Entry from the Alexandria database: a relaxed structure of TiFe8Tc3 (PBE-GGA).

Geometry as POSCAR:
```
TiFe8Tc3
1.0
4.647 0.000 0.000
-2.324 4.025 0.000
0.000 0.000 7.693
Fe Tc Ti
8 3 1
Direct
0.675 0.838 0.251 Fe
0.504 0.496 0.751 Fe
0.333 0.667 0.002 Fe
0.162 0.838 0.251 Fe
0.993 0.496 0.751 Fe
0.162 0.325 0.251 Fe
0.504 0.007 0.751 Fe
0.333 0.667 0.501 Fe
0.000 0.000 0.937 Tc
0.667 0.333 0.423 Tc
0.667 0.333 0.066 Tc
0.000 0.000 0.567 Ti
```

Values from the calculation:
Symmetry: P3m1
Magnetic moment, μB per cell: 5.96
VASP energy, eV per atom: -8.9433
ΔH_f (0 K), eV/atom: -0.052
Calculated volume, Å³/atom: 11.991
D(E_F), states/eV/f.u.: 12.1

=====

Entry 2:
Entry from the Alexandria database: a relaxed structure of TiFe2Tc2 (PBE-GGA).

Geometry as POSCAR:
```
TiFe2Tc2
1.0
-3.177 1.344 1.616
-2.101 -2.105 -2.379
-2.569 -4.146 2.888
Tc Fe Ti
2 2 1
Direct
0.750 0.250 0.500 Tc
0.250 0.750 0.500 Tc
0.398 0.398 0.204 Fe
0.602 0.602 0.796 Fe
0.000 0.000 0.000 Ti
```

Values from the calculation:
Symmetry: I4/mmm
Magnetic moment, μB per cell: 0.00
VASP energy, eV per atom: -8.9463
ΔH_f (0 K), eV/atom: 0.164
Polymorph energy (0 for the lowest one), eV/atom: 0.152
Calculated volume, Å³/atom: 14.472
D(E_F), states/eV/f.u.: 6.6

=====

Entry 3:
Entry from the Alexandria database: a relaxed structure of TiFeTc2 (PBE-GGA).

Geometry as POSCAR:
```
TiFeTc2
1.0
4.116 0.000 0.000
0.000 3.712 0.000
0.000 0.000 3.712
Tc Fe Ti
2 1 1
Direct
0.000 0.500 0.000 Tc
0.000 0.000 0.500 Tc
0.500 0.500 0.500 Fe
0.500 0.000 0.000 Ti
```

Values from the calculation:
Symmetry: P4/mmm
Magnetic moment, μB per cell: 1.81
VASP energy, eV per atom: -9.2946
ΔH_f (0 K), eV/atom: -0.022
Calculated volume, Å³/atom: 14.175
D(E_F), states/eV/f.u.: 5.5

=====

Entry 4:
Entry from the Alexandria database: a relaxed structure of Ti2FeTc (PBE-GGA).

Geometry as POSCAR:
```
Ti2FeTc
1.0
4.293 0.000 0.000
2.146 3.717 0.000
2.146 1.239 3.505
Ti Fe Tc
2 1 1
Direct
0.000 0.000 0.000 Ti
0.500 0.500 0.500 Ti
0.250 0.250 0.250 Fe
0.750 0.750 0.750 Tc
```

Values from the calculation:
Symmetry: Fm-3m
Magnetic moment, μB per cell: 0.31
VASP energy, eV per atom: -9.1046
ΔH_f (0 K), eV/atom: -0.450
Calculated volume, Å³/atom: 13.982
D(E_F), states/eV/f.u.: 2.9

=====

Entry 5:
Entry from the Alexandria database: a relaxed structure of TiFeTc2 (PBE-GGA).

Geometry as POSCAR:
```
TiFeTc2
1.0
-0.005 2.979 0.744
-0.683 -0.726 2.904
5.841 -0.314 1.295
Ti Fe Tc
1 1 2
Direct
0.500 0.500 0.500 Ti
0.500 0.500 0.000 Fe
0.000 0.000 0.241 Tc
0.000 0.000 0.759 Tc
```

Values from the calculation:
Symmetry: P4/mmm
Magnetic moment, μB per cell: 2.38
VASP energy, eV per atom: -9.4183
ΔH_f (0 K), eV/atom: -0.146
Calculated volume, Å³/atom: 14.123
D(E_F), states/eV/f.u.: 3.5

=====

Entry 6:
Entry from the Alexandria database: a relaxed structure of Ti4FeTc3 (PBE-GGA).

Geometry as POSCAR:
```
Ti4FeTc3
1.0
3.074 0.000 0.000
0.000 4.348 0.000
0.000 0.000 8.690
Ti Tc Fe
4 3 1
Direct
0.000 0.000 0.000 Ti
0.000 0.500 0.757 Ti
0.000 0.000 0.500 Ti
0.000 0.500 0.243 Ti
0.500 0.000 0.245 Tc
0.500 0.000 0.755 Tc
0.500 0.500 0.500 Tc
0.500 0.500 0.000 Fe
```

Values from the calculation:
Symmetry: Pmmm
Magnetic moment, μB per cell: 0.00
VASP energy, eV per atom: -9.3538
ΔH_f (0 K), eV/atom: -0.461
Calculated volume, Å³/atom: 14.516
D(E_F), states/eV/f.u.: 6.2

=====

Entry 7:
Entry from the Alexandria database: a relaxed structure of TiFeTc2 (PBE-GGA).

Geometry as POSCAR:
```
TiFeTc2
1.0
-1.401 -5.550 3.963
5.376 -3.388 -2.843
3.478 -3.585 2.324
Tc Ti Fe
4 2 2
Direct
0.663 0.125 0.250 Tc
0.087 0.625 0.250 Tc
0.375 0.337 0.750 Tc
0.875 0.913 0.750 Tc
0.500 0.500 0.000 Ti
0.250 0.750 0.500 Ti
0.750 0.250 0.500 Fe
0.000 0.000 0.000 Fe
```

Values from the calculation:
Symmetry: I-42d
Magnetic moment, μB per cell: 0.00
VASP energy, eV per atom: -8.8816
ΔH_f (0 K), eV/atom: 0.391
Calculated volume, Å³/atom: 14.982
D(E_F), states/eV/f.u.: 5.9

=====

Entry 8:
Entry from the Alexandria database: a relaxed structure of Y2TiFeTc (PBE-GGA).

Geometry as POSCAR:
```
Y2TiFeTc
1.0
-4.365 -0.509 2.662
0.238 -4.282 -0.429
2.696 -0.288 4.365
Tc Y Fe Ti
1 2 1 1
Direct
0.500 0.500 0.500 Tc
0.000 0.000 0.500 Y
0.500 0.000 0.000 Y
0.000 0.000 0.000 Fe
0.000 0.500 0.000 Ti
```

Values from the calculation:
Symmetry: P4/mmm
Magnetic moment, μB per cell: 1.35
VASP energy, eV per atom: -7.3177
ΔH_f (0 K), eV/atom: 0.613
Calculated volume, Å³/atom: 22.759
D(E_F), states/eV/f.u.: 6.3

=====

Entry 9:
Entry from the Alexandria database: a relaxed structure of Zr2TiFeTc (PBE-GGA).

Geometry as POSCAR:
```
Zr2TiFeTc
1.0
5.031 0.000 0.000
0.000 4.359 0.000
0.000 0.000 5.031
Ti Zr Fe Tc
1 2 1 1
Direct
0.500 0.500 0.500 Ti
0.000 0.000 0.500 Zr
0.500 0.000 0.000 Zr
0.000 0.500 0.000 Fe
0.000 0.000 0.000 Tc
```

Values from the calculation:
Symmetry: P4/mmm
Magnetic moment, μB per cell: 3.20
VASP energy, eV per atom: -7.9674
ΔH_f (0 K), eV/atom: 0.797
Calculated volume, Å³/atom: 22.068
D(E_F), states/eV/f.u.: 6.0

=====

Entry 10:
Entry from the Alexandria database: a relaxed structure of Tl3FeTc (PBE-GGA).

Geometry as POSCAR:
```
Tl3FeTc
1.0
-4.471 -1.907 -2.137
2.130 -4.862 -0.117
-1.915 -0.956 4.859
Tl Fe Tc
3 1 1
Direct
0.500 0.000 0.000 Tl
0.000 0.000 0.500 Tl
0.000 0.500 0.000 Tl
0.500 0.500 0.500 Fe
0.000 0.000 0.000 Tc
```

Values from the calculation:
Symmetry: Pm-3m
Magnetic moment, μB per cell: 4.54
VASP energy, eV per atom: -4.0703
ΔH_f (0 K), eV/atom: 1.115
Polymorph energy (0 for the lowest one), eV/atom: 0.000
Calculated volume, Å³/atom: 29.938
D(E_F), states/eV/f.u.: 29.8

=====

Entry 11:
Entry from the Alexandria database: a relaxed structure of TlFeTc3 (PBE-GGA).

Geometry as POSCAR:
```
TlFeTc3
1.0
-2.764 -3.467 0.529
3.460 -2.584 1.139
-0.578 1.115 4.286
Tc Tl Fe
3 1 1
Direct
0.500 0.000 0.000 Tc
0.000 0.500 0.000 Tc
0.000 0.000 0.500 Tc
0.500 0.500 0.500 Tl
0.000 0.000 0.000 Fe
```

Values from the calculation:
Symmetry: Pm-3m
Magnetic moment, μB per cell: 0.66
VASP energy, eV per atom: -7.1602
ΔH_f (0 K), eV/atom: 1.225
Polymorph energy (0 for the lowest one), eV/atom: 0.000
Calculated volume, Å³/atom: 17.815
D(E_F), states/eV/f.u.: 6.3

=====

Entry 12:
Entry from the Alexandria database: a relaxed structure of TlFe4Tc (PBE-GGA).

Geometry as POSCAR:
```
TlFe4Tc
1.0
0.000 3.445 3.445
3.445 0.000 3.445
3.445 3.445 0.000
Fe Tc Tl
4 1 1
Direct
0.624 0.624 0.128 Fe
0.128 0.624 0.624 Fe
0.624 0.624 0.624 Fe
0.624 0.128 0.624 Fe
0.250 0.250 0.250 Tc
0.000 0.000 0.000 Tl
```

Values from the calculation:
Symmetry: F-43m
Magnetic moment, μB per cell: 9.37
VASP energy, eV per atom: -7.4209
ΔH_f (0 K), eV/atom: 0.343
Calculated volume, Å³/atom: 13.628
D(E_F), states/eV/f.u.: 6.6

=====

Entry 13:
Entry from the Alexandria database: a relaxed structure of TlFe3Tc (PBE-GGA).

Geometry as POSCAR:
```
TlFe3Tc
1.0
-2.647 2.012 -3.445
1.003 -3.666 -2.912
-3.862 -2.332 1.605
Tc Fe Tl
1 3 1
Direct
0.500 0.500 0.500 Tc
0.500 0.000 0.000 Fe
0.000 0.500 0.000 Fe
0.000 0.000 0.500 Fe
0.000 0.000 0.000 Tl
```

Values from the calculation:
Symmetry: Pm-3m
Magnetic moment, μB per cell: 11.78
VASP energy, eV per atom: -5.4481
ΔH_f (0 K), eV/atom: 2.176
Calculated volume, Å³/atom: 21.955
D(E_F), states/eV/f.u.: 8.7

=====

Entry 14:
Entry from the Alexandria database: a relaxed structure of ZrTlFeTc2 (PBE-GGA).

Geometry as POSCAR:
```
ZrTlFeTc2
1.0
4.755 0.000 0.000
0.000 5.479 0.000
0.000 0.000 4.755
Fe Zr Tc Tl
1 1 2 1
Direct
0.500 0.500 0.500 Fe
0.000 0.000 0.000 Zr
0.000 0.000 0.500 Tc
0.500 0.000 0.000 Tc
0.000 0.500 0.000 Tl
```

Values from the calculation:
Symmetry: P4/mmm
Magnetic moment, μB per cell: 2.86
VASP energy, eV per atom: -6.0772
ΔH_f (0 K), eV/atom: 1.945
Calculated volume, Å³/atom: 24.781
D(E_F), states/eV/f.u.: 7.3

=====

Entry 15:
Entry from the Alexandria database: a relaxed structure of TmFe4Tc (PBE-GGA).

Geometry as POSCAR:
```
TmFe4Tc
1.0
-3.694 -0.116 -3.229
-0.424 -3.774 -3.109
-3.644 -3.240 0.556
Fe Tc Tm
4 1 1
Direct
0.129 0.624 0.624 Fe
0.624 0.129 0.624 Fe
0.624 0.624 0.129 Fe
0.624 0.624 0.624 Fe
0.250 0.250 0.250 Tc
0.000 0.000 0.000 Tm
```

Values from the calculation:
Symmetry: F-43m
Magnetic moment, μB per cell: 8.69
VASP energy, eV per atom: -8.0780
ΔH_f (0 K), eV/atom: 0.037
Polymorph energy (0 for the lowest one), eV/atom: 0.040
Calculated volume, Å³/atom: 13.932
D(E_F), states/eV/f.u.: 6.9

=====

Entry 16:
Entry from the Alexandria database: a relaxed structure of TmFeTc (PBE-GGA).

Geometry as POSCAR:
```
TmFeTc
1.0
6.457 0.000 0.000
0.000 6.457 0.000
0.000 0.000 5.714
Tc Tm Fe
4 4 4
Direct
0.187 0.187 0.000 Tc
0.813 0.813 0.500 Tc
0.313 0.687 0.250 Tc
0.687 0.313 0.750 Tc
0.758 0.242 0.250 Tm
0.742 0.742 0.000 Tm
0.258 0.258 0.500 Tm
0.242 0.758 0.750 Tm
0.059 0.941 0.250 Fe
0.441 0.441 0.000 Fe
0.941 0.059 0.750 Fe
0.559 0.559 0.500 Fe
```

Values from the calculation:
Symmetry: P4_12_12
Magnetic moment, μB per cell: 0.08
VASP energy, eV per atom: -7.3768
ΔH_f (0 K), eV/atom: 0.390
Polymorph energy (0 for the lowest one), eV/atom: 0.561
Calculated volume, Å³/atom: 19.854
D(E_F), states/eV/f.u.: 2.9

=====

Entry 17:
Entry from the Alexandria database: a relaxed structure of TmFeTc (PBE-GGA).

Geometry as POSCAR:
```
TmFeTc
1.0
4.575 0.000 2.569
1.541 4.320 2.614
0.048 0.237 5.274
Fe Tm Tc
2 2 2
Direct
0.500 0.000 0.000 Fe
0.000 0.000 0.000 Fe
0.126 0.624 0.624 Tm
0.874 0.376 0.376 Tm
0.500 0.000 0.500 Tc
0.500 0.500 0.000 Tc
```

Values from the calculation:
Symmetry: Imma
Magnetic moment, μB per cell: 3.80
VASP energy, eV per atom: -7.9375
ΔH_f (0 K), eV/atom: -0.171
Polymorph energy (0 for the lowest one), eV/atom: 0.000
Calculated volume, Å³/atom: 16.967
D(E_F), states/eV/f.u.: 2.8

=====

Entry 18:
Entry from the Alexandria database: a relaxed structure of Tm3Fe8Tc (PBE-GGA).

Geometry as POSCAR:
```
Tm3Fe8Tc
1.0
4.782 0.000 1.418
2.181 4.256 1.418
0.039 0.024 8.638
Fe Tm Tc
8 3 1
Direct
0.064 0.565 0.806 Fe
0.812 0.812 0.565 Fe
0.565 0.565 0.806 Fe
0.565 0.064 0.806 Fe
0.558 0.061 0.320 Fe
0.312 0.312 0.063 Fe
0.061 0.558 0.320 Fe
0.061 0.061 0.320 Fe
0.624 0.624 0.127 Tm
0.004 0.004 0.988 Tm
0.497 0.497 0.509 Tm
0.127 0.127 0.620 Tc
```

Values from the calculation:
Symmetry: R3m
Magnetic moment, μB per cell: 14.41
VASP energy, eV per atom: -7.6818
ΔH_f (0 K), eV/atom: -0.058
Calculated volume, Å³/atom: 14.622
D(E_F), states/eV/f.u.: 11.1

=====

Entry 19:
Entry from the Alexandria database: a relaxed structure of Tm6Fe2Tc (PBE-GGA).

Geometry as POSCAR:
```
Tm6Fe2Tc
1.0
7.605 0.224 -2.782
-3.890 6.663 -2.470
-0.091 -0.224 8.098
Tm Tc Fe
12 2 4
Direct
0.076 0.254 0.822 Tm
0.924 0.746 0.178 Tm
0.297 0.975 0.678 Tm
0.192 0.737 0.929 Tm
0.297 0.620 0.322 Tm
0.567 0.746 0.822 Tm
0.808 0.263 0.071 Tm
0.808 0.737 0.545 Tm
0.192 0.263 0.455 Tm
0.703 0.025 0.322 Tm
0.703 0.380 0.678 Tm
0.433 0.254 0.178 Tm
0.000 0.000 0.000 Tc
0.000 0.500 0.500 Tc
0.500 0.611 0.111 Fe
0.372 0.000 0.372 Fe
0.628 0.000 0.628 Fe
0.500 0.389 0.889 Fe
```

Values from the calculation:
Symmetry: Immm
Magnetic moment, μB per cell: 4.73
VASP energy, eV per atom: -6.0491
ΔH_f (0 K), eV/atom: -0.036
Calculated volume, Å³/atom: 22.730
D(E_F), states/eV/f.u.: 9.7

=====

Entry 20:
Entry from the Alexandria database: a relaxed structure of Tm2FeTc (PBE-GGA).

Geometry as POSCAR:
```
Tm2FeTc
1.0
-2.923 -0.978 0.932
-1.095 -2.890 -0.903
2.467 -5.185 7.862
Tm Tc Fe
2 1 1
Direct
0.094 0.094 0.718 Tm
0.906 0.906 0.282 Tm
0.500 0.500 0.500 Tc
0.000 0.000 0.000 Fe
```

Values from the calculation:
Symmetry: R-3m
Magnetic moment, μB per cell: 2.19
VASP energy, eV per atom: -6.3558
ΔH_f (0 K), eV/atom: 0.587
Calculated volume, Å³/atom: 21.452
D(E_F), states/eV/f.u.: 3.7

=====

Entry 21:
Entry from the Alexandria database: a relaxed structure of TmFe4Tc (PBE-GGA).

Geometry as POSCAR:
```
TmFe4Tc
1.0
4.854 0.000 0.000
-2.427 4.204 0.000
0.000 0.000 8.022
Fe Tm Tc
8 2 2
Direct
0.168 0.336 0.766 Fe
0.000 0.000 0.500 Fe
0.832 0.168 0.234 Fe
0.000 0.000 0.000 Fe
0.832 0.664 0.234 Fe
0.664 0.832 0.766 Fe
0.336 0.168 0.234 Fe
0.168 0.832 0.766 Fe
0.667 0.333 0.576 Tm
0.333 0.667 0.424 Tm
0.667 0.333 0.957 Tc
0.333 0.667 0.043 Tc
```

Values from the calculation:
Symmetry: P-3m1
Magnetic moment, μB per cell: 12.31
VASP energy, eV per atom: -8.1175
ΔH_f (0 K), eV/atom: -0.003
Polymorph energy (0 for the lowest one), eV/atom: 0.000
Calculated volume, Å³/atom: 13.642
D(E_F), states/eV/f.u.: 6.6

=====

Entry 22:
Entry from the Alexandria database: a relaxed structure of TmUFeTc (PBE-GGA).

Geometry as POSCAR:
```
TmUFeTc
1.0
-1.374 1.538 4.245
1.025 -2.509 3.864
3.198 1.607 3.077
Tm Tc U Fe
1 1 1 1
Direct
0.500 0.500 0.500 Tm
0.250 0.250 0.250 Tc
0.000 0.000 0.000 U
0.750 0.750 0.750 Fe
```

Values from the calculation:
Symmetry: F-43m
Magnetic moment, μB per cell: 0.41
VASP energy, eV per atom: -8.5699
ΔH_f (0 K), eV/atom: 0.077
Calculated volume, Å³/atom: 18.586
D(E_F), states/eV/f.u.: 8.8

=====

Entry 23:
Entry from the Alexandria database: a relaxed structure of TmZrFeTc (PBE-GGA).

Geometry as POSCAR:
```
TmZrFeTc
1.0
4.666 0.000 0.000
2.333 4.041 0.000
2.333 1.347 3.810
Tm Zr Fe Tc
1 1 1 1
Direct
0.000 0.000 0.000 Tm
0.500 0.500 0.500 Zr
0.750 0.750 0.750 Fe
0.250 0.250 0.250 Tc
```

Values from the calculation:
Symmetry: F-43m
Magnetic moment, μB per cell: 1.31
VASP energy, eV per atom: -8.0269
ΔH_f (0 K), eV/atom: -0.065
Calculated volume, Å³/atom: 17.961
D(E_F), states/eV/f.u.: 5.6

=====

Entry 24:
Entry from the Alexandria database: a relaxed structure of UFeTc2 (PBE-GGA).

Geometry as POSCAR:
```
UFeTc2
1.0
-1.246 1.368 -2.943
-2.777 -3.228 -0.325
-2.860 2.234 2.250
Tc Fe U
2 1 1
Direct
0.000 0.000 0.500 Tc
0.000 0.500 0.000 Tc
0.500 0.000 0.000 Fe
0.500 0.500 0.500 U
```

Values from the calculation:
Symmetry: P4/mmm
Magnetic moment, μB per cell: 2.32
VASP energy, eV per atom: -10.1434
ΔH_f (0 K), eV/atom: -0.023
Polymorph energy (0 for the lowest one), eV/atom: 0.000
Calculated volume, Å³/atom: 15.848
D(E_F), states/eV/f.u.: 4.4

=====

Entry 25:
Entry from the Alexandria database: a relaxed structure of UFeTc (PBE-GGA).

Geometry as POSCAR:
```
UFeTc
1.0
-2.957 -1.271 0.903
0.560 -2.673 -1.928
3.030 0.015 3.757
Tc U Fe
1 1 1
Direct
0.622 0.622 0.243 Tc
0.929 0.929 0.858 U
0.300 0.300 0.599 Fe
```

Values from the calculation:
Symmetry: I4mm
Magnetic moment, μB per cell: 0.00
VASP energy, eV per atom: -9.9092
ΔH_f (0 K), eV/atom: 0.130
Polymorph energy (0 for the lowest one), eV/atom: 0.203
Calculated volume, Å³/atom: 15.673
D(E_F), states/eV/f.u.: 4.9

=====

Entry 26:
Entry from the Alexandria database: a relaxed structure of UFeTc2 (PBE-GGA).

Geometry as POSCAR:
```
UFeTc2
1.0
-2.188 1.689 3.626
1.987 -0.082 4.103
1.411 3.845 1.927
U Tc Fe
1 2 1
Direct
0.000 0.000 0.000 U
0.780 0.780 0.660 Tc
0.220 0.220 0.340 Tc
0.500 0.500 0.500 Fe
```

Values from the calculation:
Symmetry: R-3m
Magnetic moment, μB per cell: 2.75
VASP energy, eV per atom: -10.0279
ΔH_f (0 K), eV/atom: 0.093
Polymorph energy (0 for the lowest one), eV/atom: 0.116
Calculated volume, Å³/atom: 16.572
D(E_F), states/eV/f.u.: 6.0